GGA-PBE KMgTe3As, optimized geometry; electronic total energy = -40.506 eV/cell; density = 4117 kg/m³; energy relative to the elements, uncorrected = -13.4 kcal/mol of atoms
1.0
9.582 0.000 0.000
0.000 4.376 0.000
-3.341 0.000 10.027
K Mg Te As
2 2 6 2
Direct
0.213 0.250 0.249
0.787 0.750 0.751
0.090 0.250 0.616
0.910 0.750 0.384
0.128 0.250 0.890
0.219 0.750 0.530
0.467 0.750 0.147
0.533 0.250 0.853
0.781 0.250 0.470
0.872 0.750 0.110
0.333 0.750 0.884
0.667 0.250 0.116



GGA-PBE K2MgZnAs2, optimized geometry; electronic total energy = -35.525 eV/cell; energy of formation = -567 meV/atom; density = 3356 kg/m³
1.0
-3.145 7.881 3.172
3.145 -7.881 3.172
3.145 7.881 -3.172
K Mg Zn As
4 2 2 4
Direct
0.175 0.243 0.418
0.325 0.743 0.068
0.675 0.257 0.932
0.825 0.757 0.582
0.250 0.750 0.500
0.750 0.250 0.500
0.250 0.250 0.000
0.750 0.750 0.000
0.095 0.759 0.854
0.405 0.259 0.664
0.595 0.741 0.336
0.905 0.241 0.146



GGA-PBE K2MnAs, optimized geometry; electronic total energy = -14.632 eV/cell; Fermi-level density of states = 4.81 states/eV/cell; energy of formation = 345 meV/atom; density = 3174 kg/m³
1.0
-2.672 2.672 3.812
2.672 -2.672 3.812
2.672 2.672 -3.812
K Mn As
2 1 1
Direct
0.000 0.000 0.000
0.750 0.250 0.500
0.250 0.750 0.500
0.500 0.500 0.000



GGA-PBE KMn2As, optimized geometry; electronic total energy = -21.823 eV/cell; Fermi-level density of states = 1.62 states/eV/cell; energy of formation = 566 meV/atom; density = 4029 kg/m³
1.0
-1.625 2.805 5.061
1.625 -2.805 5.061
1.625 2.805 -5.061
K Mn As
1 2 1
Direct
0.000 0.000 0.000
0.322 0.822 0.500
0.544 0.544 0.000
0.721 0.221 0.500



GGA-PBE KMnAs2, optimized geometry; electronic total energy = -16.956 eV/cell; Fermi-level density of states = 3.80 states/eV/cell; energy of formation = 653 meV/atom; density = 5532 kg/m³
1.0
0.000 3.320 3.320
3.320 0.000 3.320
3.320 3.320 0.000
K Mn As
1 1 2
Direct
0.000 0.000 0.000
0.500 0.500 0.500
0.250 0.250 0.250
0.750 0.750 0.750



GGA-PBE KMnAs2, optimized geometry; electronic total energy = -40.482 eV/cell; Fermi-level density of states = 0.00 states/eV/cell; energy of formation = -169 meV/atom; density = 3454 kg/m³
1.0
-3.054 3.054 6.287
3.054 -3.054 6.287
3.054 3.054 -6.287
K Mn As
2 2 4
Direct
0.375 0.625 0.750
0.625 0.375 0.250
0.125 0.875 0.250
0.875 0.125 0.750
0.000 0.000 0.000
0.000 0.000 0.500
0.000 0.500 0.000
0.500 0.000 0.500



GGA-PBE KMn2As, optimized geometry; electronic total energy = -23.018 eV/cell; Fermi-level density of states = 2.71 states/eV/cell; energy of formation = 267 meV/atom; density = 3867 kg/m³
1.0
3.754 0.000 0.000
0.000 3.764 0.000
0.000 0.000 6.802
K Mn As
1 2 1
Direct
0.000 0.000 0.000
0.000 0.500 0.534
0.500 0.000 0.534
0.500 0.500 0.311



GGA-PBE KMnAs2, optimized geometry; electronic total energy = -40.996 eV/cell; Fermi-level density of states = 2.78 states/eV/cell; energy of formation = -233 meV/atom; density = 3905 kg/m³
1.0
3.036 -6.454 0.000
3.036 6.454 0.000
-2.926 0.000 5.293
K Mn As
2 2 4
Direct
0.165 0.835 0.750
0.835 0.165 0.250
0.499 0.501 0.250
0.501 0.499 0.750
0.151 0.342 0.874
0.342 0.151 0.374
0.658 0.849 0.626
0.849 0.658 0.126



GGA-PBE K2MnAs, optimized geometry; electronic total energy = -16.127 eV/cell; Fermi-level density of states = 0.13 states/eV/cell; energy of formation = -28 meV/atom; density = 2496 kg/m³
1.0
-2.273 3.011 5.058
2.273 -3.011 5.058
2.273 3.011 -5.058
K Mn As
2 1 1
Direct
0.000 0.000 0.000
0.683 0.183 0.500
0.310 0.810 0.500
0.375 0.375 0.000



GGA-PBE K2MnAs, optimized geometry; electronic total energy = -14.028 eV/cell; Fermi-level density of states = 3.26 states/eV/cell; energy of formation = 496 meV/atom; density = 2956 kg/m³
1.0
3.235 0.000 0.000
0.000 3.235 0.000
0.000 0.000 11.164
K Mn As
2 1 1
Direct
0.000 0.000 0.216
0.000 0.000 0.784
0.500 0.500 0.500
0.500 0.500 0.000



GGA-PBE KMnAs2, optimized geometry; electronic total energy = -20.593 eV/cell; Fermi-level density of states = 1.07 states/eV/cell; energy of formation = -257 meV/atom; density = 4292 kg/m³
1.0
3.583 -1.875 0.000
3.583 1.875 0.000
-1.890 0.000 7.023
K Mn As
1 1 2
Direct
0.000 0.000 0.000
0.500 0.500 0.500
0.222 0.222 0.653
0.778 0.778 0.347



GGA-PBE KMnAs2, optimized geometry; electronic total energy = -17.448 eV/cell; Fermi-level density of states = 2.76 states/eV/cell; energy of formation = 530 meV/atom; density = 4573 kg/m³
1.0
0.000 3.538 3.538
3.538 0.000 3.538
3.538 3.538 0.000
K Mn As
1 1 2
Direct
0.000 0.000 0.000
0.750 0.750 0.750
0.250 0.250 0.250
0.500 0.500 0.500



Which formula does entry 11 have? KMnAs2



density of number 12 (KMnAs2)? 4573 kg/m³